DFT (PBE) results for a relaxed Er6AgRu2 crystal.

```
Er6AgRu2
1.0
7.817 -0.143 -2.950
-4.173 6.897 -2.200
-0.179 0.143 8.353
Er Ag Ru
12 2 4
direct
0.537 0.718 0.819
0.463 0.282 0.181
0.101 0.282 0.819
0.899 0.718 0.181
0.801 0.758 0.559
0.199 0.242 0.441
0.199 0.758 0.957
0.801 0.242 0.043
0.686 0.355 0.670
0.314 0.645 0.330
0.314 0.984 0.670
0.686 0.016 0.330
0.000 0.500 0.500
0.000 0.000 0.000
0.500 0.372 0.872
0.500 0.628 0.128
0.678 0.000 0.678
0.322 0.000 0.322
```

Computed properties:
**Space group**: Immm (71)
**ΔH_f (0 K)**: -0.3402 eV/atom
**Total energy**: -5.76 eV/atom

***

DFT (PBE) results for a relaxed Er4Ag3Ru crystal.

```
Er4Ag3Ru
1.0
3.489 0.000 0.000
0.000 3.489 0.000
0.000 0.000 14.642
Ru Ag Er
1 3 4
direct
0.500 0.500 0.000
0.500 0.500 0.245
0.500 0.500 0.500
0.500 0.500 0.755
0.000 0.000 0.889
0.000 0.000 0.111
0.000 0.000 0.372
0.000 0.000 0.628
```

Computed properties:
**Space group**: P4/mmm (123)
**ΔH_f (0 K)**: -0.3792 eV/atom
**Total energy**: -4.89 eV/atom

***

DFT (PBE) results for a relaxed Er4AgRu crystal.

```
Er4AgRu
1.0
-2.187 -3.644 -2.294
0.707 -2.842 3.841
-6.128 2.019 2.630
Er Ag Ru
4 1 1
direct
0.501 0.997 0.264
0.502 0.998 0.732
0.002 0.498 0.732
0.001 0.497 0.264
0.501 0.497 0.998
0.001 0.997 0.498
```

Computed properties:
**Space group**: C2/m (12)
**ΔH_f (0 K)**: -0.1645 eV/atom
**Total energy**: -5.23 eV/atom
**Excess energy over the best structure of this formula in the dataset**: 164 meV/atom

***

DFT (PBE) results for a relaxed Er4AgRu crystal.

```
Er4AgRu
1.0
-4.086 7.988 2.970
-7.889 -0.374 5.191
0.256 2.317 9.159
Er Ag Ru
16 4 4
direct
0.401 0.401 0.401
0.797 0.401 0.401
0.401 0.797 0.401
0.401 0.401 0.797
0.561 0.561 0.939
0.939 0.939 0.561
0.561 0.939 0.561
0.939 0.561 0.939
0.939 0.561 0.561
0.561 0.939 0.939
0.189 0.189 0.811
0.811 0.811 0.189
0.189 0.811 0.189
0.811 0.189 0.811
0.811 0.189 0.189
0.189 0.811 0.811
0.168 0.168 0.168
0.497 0.168 0.168
0.168 0.497 0.168
0.168 0.168 0.497
0.609 0.609 0.609
0.172 0.609 0.609
0.609 0.172 0.609
0.609 0.609 0.172
```

Computed properties:
**Space group**: F-43m (216)
**ΔH_f (0 K)**: -0.3281 eV/atom
**Total energy**: -5.39 eV/atom
**Excess energy over the best structure of this formula in the dataset**: 0 meV/atom

***

DFT (PBE) results for a relaxed Er8AgRu2 crystal.

```
Er8AgRu2
1.0
4.849 0.000 0.000
0.000 6.955 0.122
-2.424 -2.834 8.255
Er Ag Ru
8 1 2
direct
0.402 0.527 0.805
0.674 0.964 0.347
0.798 0.683 0.596
0.964 0.227 0.929
0.202 0.317 0.404
0.326 0.036 0.653
0.598 0.473 0.195
0.036 0.773 0.071
0.500 0.000 0.000
0.813 0.296 0.626
0.187 0.704 0.374
```

Computed properties:
**Space group**: C2/m (12)
**ΔH_f (0 K)**: -0.2523 eV/atom
**Total energy**: -5.52 eV/atom
**Excess energy over the best structure of this formula in the dataset**: 0 meV/atom

***

DFT (PBE) results for a relaxed SmErAgRu crystal.

```
SmErAgRu
1.0
-4.299 -0.649 -2.452
-0.453 -3.715 -3.303
-2.900 -3.927 1.043
Ru Ag Sm Er
1 1 1 1
direct
0.750 0.750 0.750
0.250 0.250 0.250
0.000 0.000 0.000
0.500 0.500 0.500
```

Computed properties:
**Space group**: F-43m (216)
**ΔH_f (0 K)**: -0.3077 eV/atom
**Total energy**: -5.66 eV/atom
**Excess energy over the best structure of this formula in the dataset**: 67 meV/atom

***

DFT (PBE) results for a relaxed SmErAgRu crystal.

```
SmErAgRu
1.0
3.436 0.000 0.000
0.000 3.436 0.000
0.000 0.000 7.573
Sm Er Ag Ru
1 1 1 1
direct
0.500 0.500 0.792
0.500 0.500 0.347
0.000 0.000 0.085
0.000 0.000 0.560
```

Computed properties:
**Space group**: P4mm (99)
**ΔH_f (0 K)**: -0.3750 eV/atom
**Total energy**: -5.73 eV/atom
**Excess energy over the best structure of this formula in the dataset**: 0 meV/atom

***

DFT (PBE) results for a relaxed ErAgSnRu crystal.

```
ErAgSnRu
1.0
4.786 0.000 0.000
2.393 4.145 0.000
2.393 1.382 3.908
Ru Sn Ag Er
1 1 1 1
direct
0.750 0.750 0.750
0.000 0.000 0.000
0.250 0.250 0.250
0.500 0.500 0.500
```

Computed properties:
**Space group**: F-43m (216)
**ΔH_f (0 K)**: -0.2560 eV/atom
**Total energy**: -5.43 eV/atom